Below is a relaxed Nb2Tl3SbO8 crystal, with properties calculated at the PBE level.

Properties
Space-group type ... No. 164

Lattice parameters (Å, degrees): 6.2775 6.2775 7.8185 90.00 90.00 120.00
Positions (direct):
Nb  0.3333  0.6667  0.2421
Nb  0.6667  0.3333  0.7579
Tl  0.0000  0.0000  0.0000
Tl  0.3333  0.6667  0.6960
Tl  0.6667  0.3333  0.3040
Sb  0.0000  0.0000  0.5000
O  0.1672  0.3344  0.3178
O  0.1672  0.8328  0.3178
O  0.3333  0.6667  0.0078
O  0.3344  0.1672  0.6822
O  0.6656  0.8328  0.3178
O  0.6667  0.3333  0.9922
O  0.8328  0.1672  0.6822
O  0.8328  0.6656  0.6822



Below is a relaxed NbTl2SbO6 crystal, with properties calculated at the PBE level.

Properties
Space-group type ... No. 225

Lattice parameters (Å, degrees): 5.7876 5.7876 5.7876 60.00 60.00 60.00
Positions (direct):
Nb  0.0000  0.0000  0.0000
Tl  0.2500  0.2500  0.2500
Tl  0.7500  0.7500  0.7500
Sb  0.5000  0.5000  0.5000
O  0.2498  0.2498  0.7502
O  0.2498  0.7502  0.2498
O  0.2498  0.7502  0.7502
O  0.7502  0.2498  0.2498
O  0.7502  0.2498  0.7502
O  0.7502  0.7502  0.2498



Below is a relaxed Y2NbSbO crystal, with properties calculated at the PBE level.

Properties
Space-group type ... No. 123

Lattice parameters (Å, degrees): 5.7146 5.7146 5.1056 90.00 90.00 90.00
Positions (direct):
Y  0.0000  0.5000  0.0000
Y  0.5000  0.0000  0.0000
Nb  0.0000  0.0000  0.5000
Sb  0.0000  0.0000  0.0000
O  0.5000  0.5000  0.5000



Below is a relaxed Nb2Zn2SbO8 crystal, with properties calculated at the PBE level.

Properties
Space-group type ... No. 2

Lattice parameters (Å, degrees): 5.5041 5.8602 10.7685 105.78 93.25 90.12
Positions (direct):
Nb  0.2076  0.2785  0.2422
Nb  0.2904  0.0312  0.7569
Nb  0.7096  0.9688  0.2431
Nb  0.7924  0.7215  0.7578
Zn  0.2107  0.8747  0.4359
Zn  0.2887  0.4374  0.5630
Zn  0.7113  0.5626  0.4370
Zn  0.7893  0.1253  0.5641
Sb  0.2536  0.6709  0.9999
Sb  0.7464  0.3291  0.0001
O  0.0049  0.9889  0.1470
O  0.0990  0.7104  0.6513
O  0.1059  0.4641  0.1185
O  0.1582  0.1510  0.6019
O  0.3431  0.5507  0.3986
O  0.3963  0.3432  0.8858
O  0.3988  0.0589  0.3465
O  0.4929  0.8339  0.8517
O  0.5071  0.1661  0.1483
O  0.6012  0.9411  0.6535
O  0.6037  0.6568  0.1142
O  0.6569  0.4493  0.6014
O  0.8418  0.8490  0.3981
O  0.8941  0.5359  0.8815
O  0.9010  0.2896  0.3487
O  0.9951  0.0111  0.8530



Below is a relaxed NbZnSbO6 crystal, with properties calculated at the PBE level.

Properties
Space-group type ... No. 163

Lattice parameters (Å, degrees): 5.2759 5.2759 9.1289 90.00 90.00 120.00
Positions (direct):
Nb  0.3333  0.6667  0.2500
Nb  0.6667  0.3333  0.7500
Zn  0.0000  0.0000  0.0000
Zn  0.0000  0.0000  0.5000
Sb  0.3333  0.6667  0.7500
Sb  0.6667  0.3333  0.2500
O  0.0017  0.3529  0.6323
O  0.0017  0.6488  0.8677
O  0.3512  0.3529  0.8677
O  0.3512  0.9983  0.6323
O  0.3529  0.0017  0.1323
O  0.3529  0.3512  0.3677
O  0.6471  0.6488  0.6323
O  0.6471  0.9983  0.8677
O  0.6488  0.0017  0.3677
O  0.6488  0.6471  0.1323
O  0.9983  0.3512  0.1323
O  0.9983  0.6471  0.3677



Below is a relaxed ScNb3O crystal, with properties calculated at the PBE level.

Properties
Space-group type ... No. 221
Relative energy among the computed polymorphs ... 2.781 eV per atom

Lattice parameters (Å, degrees): 4.7388 4.7388 4.7388 90.00 90.00 90.00
Positions (direct):
Sc  0.0000  0.0000  0.0000
Nb  0.0000  0.0000  0.5000
Nb  0.0000  0.5000  0.0000
Nb  0.5000  0.0000  0.0000
O  0.5000  0.5000  0.5000



Below is a relaxed ScNbO2 crystal, with properties calculated at the PBE level.

Properties
Space-group type ... No. 225
Relative energy among the computed polymorphs ... 0.642 eV per atom

Lattice parameters (Å, degrees): 3.9269 3.9269 3.9269 60.00 60.00 60.00
Positions (direct):
Sc  0.0000  0.0000  0.0000
Nb  0.5000  0.5000  0.5000
O  0.2500  0.2500  0.2500
O  0.7500  0.7500  0.7500



Below is a relaxed Sc2NbO crystal, with properties calculated at the PBE level.

Properties
Space-group type ... No. 166

Lattice parameters (Å, degrees): 8.3207 8.3207 8.3207 21.36 21.36 21.36
Positions (direct):
Sc  0.1138  0.1138  0.1138
Sc  0.8862  0.8862  0.8862
Nb  0.0000  0.0000  0.0000
O  0.5000  0.5000  0.5000



Formation energy without anion corrections in eV/f.u., matching the order above: -23.8; -15.0; 4.3; -24.3; -15.6; 10.5; -6.9; -4.5